# KLi2As

A relaxed KLi2As crystal (PBEsol, Alexandria).

The formation energy from the elements comes out at -185 kJ/mol of formula units. As for the total magnetization: 0.00 μB per atom.

It has space group Immm (No. 71), with a = 4.7551 Å, b = 4.7962 Å, c = 6.7575 Å, α = 90.00°, β = 90.00° and γ = 90.00°. Symmetry generates all atoms from K at (0.0000, 0.0000, 0.0000), Li at (0.0000, 0.5000, 0.2475) and As at (0.0000, 0.0000, 0.5000).

# Ca2LaIr2

A relaxed Ca2LaIr2 crystal (PBEsol, Alexandria).

The formation energy from the elements comes out at -102 kJ/mol of formula units. As for the total magnetization: 0.00 μB per atom.

It has space group I4/mmm (No. 139), with a = 4.3065 Å, b = 4.3065 Å, c = 12.8351 Å, α = 90.00°, β = 90.00° and γ = 90.00°. Symmetry generates all atoms from Ca at (0.0000, 0.5000, 0.2500), La at (0.0000, 0.0000, 0.0000) and Ir at (0.0000, 0.0000, 0.4026).

# CdNiBr4

A relaxed CdNiBr4 crystal (PBEsol, Alexandria).

Its formation energy from raw total energies is 0.935 eV per atom. As for the total magnetization: 0.11 μB per atom.

It has space group F-43m (No. 216), with a = 8.5483 Å, b = 8.5483 Å, c = 8.5483 Å, α = 90.00°, β = 90.00° and γ = 90.00°. Symmetry generates all atoms from Cd at (0.0000, 0.0000, 0.0000), Ni at (0.2500, 0.2500, 0.7500) and Br at (0.1251, 0.1251, 0.3749).

# Cu3Sb4O6F6

A relaxed Cu3Sb4O6F6 crystal (PBEsol, Alexandria).

Its formation energy from raw total energies is -1.447 eV per atom. As for the total magnetization: 0.15 μB per atom.

It has space group I-43m (No. 217), with a = 8.0484 Å, b = 8.0484 Å, c = 8.0484 Å, α = 90.00°, β = 90.00° and γ = 90.00°. Symmetry generates all atoms from Cu at (0.0000, 0.0000, 0.5000), Sb at (0.1654, 0.1654, 0.8346), O at (0.0000, 0.0000, 0.2544) and F at (0.0000, 0.2500, 0.5000).

# ZrAlRe

A relaxed ZrAlRe crystal (PBEsol, Alexandria).

The formation energy from the elements comes out at -26 kJ/mol of formula units. As for the total magnetization: 0.00 μB per atom.

It has space group Fmm2 (No. 42), with a = 3.3023 Å, b = 4.5675 Å, c = 13.3000 Å, α = 90.00°, β = 90.00° and γ = 90.00°. Symmetry generates all atoms from Zr at (0.0000, 0.0000, 0.0000), Al at (0.0000, 0.0000, 0.6810) and Re at (0.0000, 0.0000, 0.3320).

# NbFe2SiTc

A relaxed NbFe2SiTc crystal (PBEsol, Alexandria).

Its formation energy from raw total energies is 1.730 eV per atom. As for the total magnetization: 0.97 μB per atom.

It has space group P4/mmm (No. 123), with a = 4.2921 Å, b = 4.2921 Å, c = 4.6792 Å, α = 90.00°, β = 90.00° and γ = 90.00°. Symmetry generates all atoms from Nb at (0.0000, 0.0000, 0.0000), Fe at (0.0000, 0.5000, 0.0000), Si at (0.0000, 0.0000, 0.5000) and Tc at (0.5000, 0.5000, 0.5000).

For the records above, the corresponding uncorrected energy values read -24.17, -60.63, -36.89, -203.58, -107.12, -37.11 eV/cell.